Compound: Re2AgPb
Source: Alexandria via LeMat-Bulk
Functional: PBE
Structure: optimized geometry Values from VASP.

Output
VASP energy: -6.97 eV per atom
Energy of formation: 344 kJ/mol of formula units
Calculated volume: 19.72 Å³/atom
DOS at the Fermi energy: 2.768 states/eV/f.u.

Cell and atoms, written as Quantum ESPRESSO input:
```
&SYSTEM
  ibrav = 0, nat = 4, ntyp = 3
/
ATOMIC_SPECIES
Ag 107.87 Ag.upf
Re 186.21 Re.upf
Pb 207.20 Pb.upf
CELL_PARAMETERS angstrom
-1.459 4.900 0.556
-3.160 3.040 2.687
3.262 1.074 3.542
ATOMIC_POSITIONS crystal
Ag 0.750 0.750 0.750
Re 0.488 0.488 0.575
Re 0.012 0.012 0.925
Pb 0.250 0.250 0.250
```